# Li3AcMo4O12

An optimized crystal structure of Li3AcMo4O12 (PBE+U, Alexandria via LeMat-Bulk).

abc: 6.722 6.722 6.722
angles: 109.47 109.47 109.47
Positions (direct):
Li1 0.000 0.500 0.500
Li2 0.500 0.000 0.500
Li3 0.500 0.500 0.000
Ac1 0.000 0.000 0.000
Mo1 0.000 0.000 0.500
Mo2 0.000 0.500 0.000
Mo3 0.500 0.000 0.000
Mo4 0.500 0.500 0.500
O1 0.107 0.296 0.810
O2 0.190 0.486 0.296
O3 0.190 0.893 0.704
O4 0.296 0.190 0.486
O5 0.296 0.810 0.107
O6 0.486 0.296 0.190
O7 0.514 0.704 0.810
O8 0.704 0.190 0.893
O9 0.704 0.810 0.514
O10 0.810 0.107 0.296
O11 0.810 0.514 0.704
O12 0.893 0.704 0.190

Output
The value obtained for the total DFT energy (no corrections) is -136.58 eV per cell. As for the crystal system: cubic.